Entry 1:
{"formula": "Li2ZrTe", "functional": "SCAN", "state": "PBEsol geometry", "cell": [[-2.289, 3.845, 1.639], [-0.470, 0.672, 4.694], [2.433, 3.479, 2.164]], "species": ["Li", "Te", "Zr", "Li"], "frac_coords": [[0.250, 0.250, 0.250], [0.500, 0.500, 0.500], [0.750, 0.750, 0.750], [0.000, 0.000, 0.000]], "dft_energy_ev_per_atom": -18.36, "space_group": "F-43m, No. 216", "dos_at_fermi_per_ev_cell": 1.2, "raw_formation_energy_ev_per_atom": -0.18}


Entry 2:
{"formula": "GaCoBr2", "functional": "SCAN", "state": "PBEsol geometry", "cell": [[-0.699, 4.586, -1.338], [-2.176, 0.986, -4.195], [-4.458, 1.853, -0.030]], "species": ["Co", "Br", "Br", "Ga"], "frac_coords": [[0.000, 0.000, 0.000], [0.750, 0.750, 0.750], [0.250, 0.250, 0.250], [0.500, 0.500, 0.500]], "dft_energy_ev_per_atom": -17.83, "space_group": "Fm-3m, No. 225", "dos_at_fermi_per_ev_cell": 5.4, "raw_formation_energy_ev_per_atom": 0.31}